[1]
This record from Alexandria describes a geometry-optimized LiTbHoMn structure. The functional is PBE.

Cell lengths 5.0174, 5.0174, 5.0174 Å; angles 60.00, 60.00, 60.00 degrees
Element x y z (fractional)
Tb (0.2500, 0.2500, 0.2500)
Ho (0.7500, 0.7500, 0.7500)
Mn (0.5000, 0.5000, 0.5000)
Li (0.0000, 0.0000, 0.0000)

Formation energy from the elements, eV/atom: 0.12
Space-group type: F-43m



[2]
This record from Alexandria describes a geometry-optimized Li2HoMnTe4 structure. The functional is PBE.

Cell lengths 4.1919, 7.2170, 7.3555 Å; angles 108.76, 90.00, 90.00 degrees
Element x y z (fractional)
Li (0.5000, 0.0000, 0.5000)
Li (0.0000, 0.5000, 0.5000)
Te (0.5000, 0.2281, 0.2404)
Te (0.0000, 0.2320, 0.7502)
Te (0.5000, 0.7719, 0.7596)
Te (0.0000, 0.7680, 0.2498)
Mn (0.0000, 0.0000, 0.0000)
Ho (0.5000, 0.5000, 0.0000)

Space-group type: P2/m
Raw formation energy, eV/atom: -0.834



[3]
This record from Alexandria describes a geometry-optimized LiHoZrMn structure. The functional is PBE.

Cell lengths 4.7562, 4.7562, 4.7562 Å; angles 60.00, 60.00, 60.00 degrees
Element x y z (fractional)
Mn (0.5000, 0.5000, 0.5000)
Zr (0.2500, 0.2500, 0.2500)
Ho (0.7500, 0.7500, 0.7500)
Li (0.0000, 0.0000, 0.0000)

Formation energy from the elements, eV/atom: 0.14
Space-group type: F-43m



| no. | Fermi-level density of states (states/eV per cell) | size of the total moment (μB/atom) |
| --- | --- | --- |
| 1 | 3.993 | 0.62 |
| 2 | 2.624 | 0.51 |
| 3 | 3.909 | 0.31 |